La5Ag2Os2 | PBE | optimized geometry

Cell and atoms, written as POSCAR:
```
La5Ag2Os2
1.0
7.897 -4.010 0.000
7.897 4.010 0.000
0.000 0.000 7.986
La Ag Os
10 4 4
direct
0.000 0.000 0.000 La
0.047 0.714 0.665 La
0.214 0.547 0.165 La
0.286 0.953 0.665 La
0.453 0.786 0.165 La
0.500 0.500 0.500 La
0.547 0.214 0.835 La
0.714 0.047 0.335 La
0.786 0.453 0.835 La
0.953 0.286 0.335 La
0.212 0.212 0.000 Ag
0.288 0.288 0.500 Ag
0.712 0.712 0.500 Ag
0.788 0.788 0.000 Ag
0.137 0.863 0.364 Os
0.363 0.637 0.864 Os
0.637 0.363 0.136 Os
0.863 0.137 0.636 Os
```

Computed properties:
Energy of formation   -0.19 eV per atom
DOS at the Fermi energy   0.6631 states/eV/atom

---

La5Ag2Os | PBE | optimized geometry

Cell and atoms, written as POSCAR:
```
La5Ag2Os
1.0
8.205 0.000 0.000
0.000 12.245 0.000
0.000 0.000 4.810
La Ag Os
10 4 2
direct
0.000 0.000 0.000 La
0.144 0.299 0.000 La
0.185 0.572 0.500 La
0.315 0.072 0.500 La
0.356 0.799 0.000 La
0.500 0.500 0.000 La
0.644 0.201 0.000 La
0.685 0.928 0.500 La
0.815 0.428 0.500 La
0.856 0.701 0.000 La
0.078 0.833 0.500 Ag
0.422 0.333 0.500 Ag
0.578 0.667 0.500 Ag
0.922 0.167 0.500 Ag
0.000 0.500 0.000 Os
0.500 0.000 0.000 Os
```

Computed properties:
Energy of formation   -0.22 eV per atom
DOS at the Fermi energy   1.1609 states/eV/atom

---

LaAg4Os | PBE | optimized geometry

Cell and atoms, written as POSCAR:
```
LaAg4Os
1.0
0.000 3.903 3.903
3.903 0.000 3.903
3.903 3.903 0.000
La Ag Os
1 4 1
direct
0.000 0.000 0.000 La
0.376 0.376 0.376 Ag
0.376 0.376 0.872 Ag
0.376 0.872 0.376 Ag
0.872 0.376 0.376 Ag
0.750 0.750 0.750 Os
```

Computed properties:
Energy of formation   0.33 eV per atom
DOS at the Fermi energy   0.8909 states/eV/atom

---

La5AgOs2 | PBE | optimized geometry

Cell and atoms, written as POSCAR:
```
La5AgOs2
1.0
-4.021 4.021 7.087
4.021 -4.021 7.087
4.021 4.021 -7.087
La Ag Os
10 2 4
direct
0.000 0.000 0.000 La
0.032 0.532 0.822 La
0.209 0.032 0.500 La
0.291 0.791 0.822 La
0.468 0.291 0.500 La
0.500 0.500 0.000 La
0.532 0.709 0.500 La
0.709 0.209 0.178 La
0.791 0.968 0.500 La
0.968 0.468 0.178 La
0.250 0.250 0.000 Ag
0.750 0.750 0.000 Ag
0.138 0.362 0.500 Os
0.362 0.862 0.223 Os
0.638 0.138 0.777 Os
0.862 0.638 0.500 Os
```

Computed properties:
Energy of formation   -0.22 eV per atom
DOS at the Fermi energy   0.8663 states/eV/atom